Entry from Alexandria: crystalline ZrCl3 at its relaxed geometry (PBE).

Cell and atoms, written as extended XYZ:
```
24
Lattice="11.690 -6.742 0.000 11.690 6.742 0.000 -1.997 0.000 7.006" Properties=species:S:1:pos:R:3 pbc="T T T"
Zr 0.005 0.000 7.005
Zr 4.842 1.638 0.000
Zr 4.842 -1.638 0.000
Zr 16.540 1.638 7.005
Zr 16.540 -1.638 7.005
Zr 21.378 0.000 0.001
Cl 2.870 1.774 1.614
Cl 0.000 0.000 1.641
Cl 5.847 3.370 1.641
Cl 8.816 4.970 1.618
Cl 3.950 0.000 5.393
Cl 12.567 4.970 5.388
Cl 2.870 -1.774 1.614
Cl 5.937 0.000 1.623
Cl 15.536 3.370 5.364
Cl 5.847 -3.370 1.641
Cl 15.446 0.000 5.383
Cl 18.512 1.774 5.392
Cl 8.816 -4.970 1.618
Cl 17.433 0.000 1.613
Cl 12.567 -4.970 5.388
Cl 15.536 -3.370 5.364
Cl 21.383 0.000 5.365
Cl 18.512 -1.774 5.392
```

Results
* theoretical density: 1.78 Mg/m³
* N(E_F): 1.63 states/eV/f.u.
* space-group type: C2/m, No. 12
* total magnetic moment: 0.0895 μB/atom
* uncorrected formation energy: -39.790 kcal/mol of atoms
* uncorrected energy: -125.94 eV per cell